Entry from Alexandria: a relaxed structure of InFe3O (GGA+U).

Summary:
The value obtained for the density of states at the Fermi level is 1.74 states/eV per atom. For the excess energy over the best structure of this formula in the dataset, the calculation gives 1771 meV/atom. For the total DFT energy (no corrections), the calculation gives -15.697 eV/cell.

Cell: 4.990 4.990 4.990 Å, 90.00 90.00 90.00°
Fractional positions:
In (0.000, 0.000, 0.000)
Fe (0.000, 0.000, 0.500)
Fe (0.000, 0.500, 0.000)
Fe (0.500, 0.000, 0.000)
O (0.500, 0.500, 0.500)